No. 1
RbZnS | the Alexandria database | PBE | optimized geometry; uncorrected formation energy = -0.772 eV/atom; E_tot = -2.895 eV/atom; calculated density = 3.1 g/cm3
1.0
-2.420 2.595 7.743
2.420 -2.595 7.743
2.420 2.595 -7.743
Rb Zn S
2 2 2
Cartesian
0.000 0.000 2.486
0.000 0.000 13.000
2.420 1.206 0.000
0.000 1.389 7.743
0.000 0.000 5.839
0.000 0.000 9.647

No. 2
Rb2ZnS2 | the Alexandria database | PBE | optimized geometry; uncorrected formation energy = -0.999 eV/atom; N(E_F) = 0.00 states/eV/f.u.; E_tot = -3.292 eV/atom; calculated density = 2.7 g/cm3
1.0
7.289 -3.234 0.000
7.289 3.234 0.000
-7.232 0.000 7.945
Rb Zn S
4 2 4
Cartesian
-0.812 0.000 2.459
-2.152 0.000 7.708
9.499 0.000 0.237
8.158 0.000 5.486
3.002 0.000 2.710
4.344 0.000 5.235
1.967 0.000 0.756
2.035 0.000 4.821
5.311 0.000 3.124
5.379 0.000 7.189

No. 3
RbZn2S2 | the Alexandria database | PBE | optimized geometry; uncorrected formation energy = -0.576 eV/atom; N(E_F) = 2.11 states/eV/f.u.; E_tot = -2.930 eV/atom; calculated density = 3.7 g/cm3; polymorph energy (0 for the lowest one) = 0 meV per atom
1.0
-2.198 2.198 6.521
2.198 -2.198 6.521
2.198 2.198 -6.521
Rb Zn S
1 2 2
Cartesian
0.000 0.000 0.000
2.198 0.000 3.260
0.000 2.198 3.260
0.000 0.000 4.422
0.000 0.000 8.619

No. 4
RbZrS3 | the Alexandria database | PBE | optimized geometry; uncorrected formation energy = -1.169 eV/atom; N(E_F) = 5.31 states/eV/f.u.; E_tot = -5.548 eV/atom; calculated density = 3.1 g/cm3; polymorph energy (0 for the lowest one) = 14 meV per atom
1.0
3.383 1.953 7.478
-3.383 1.953 7.478
0.000 -3.907 7.478
Rb Zr S
2 2 6
Cartesian
0.000 0.000 2.893
0.000 0.000 19.540
0.000 0.000 7.513
0.000 0.000 14.920
-1.707 -0.985 9.140
0.000 -1.971 13.293
-1.707 0.985 13.293
1.707 -0.985 9.140
0.000 1.971 9.140
1.707 0.985 13.293

No. 5
RbZrS4 | the Alexandria database | PBE | optimized geometry; uncorrected formation energy = -0.975 eV/atom; N(E_F) = 2.50 states/eV/f.u.; E_tot = -5.313 eV/atom; calculated density = 2.8 g/cm3
1.0
5.329 -6.226 0.000
5.329 6.226 0.000
-3.715 0.000 5.528
Rb Zr S
2 2 8
Cartesian
2.542 4.415 4.146
4.400 -4.415 1.382
2.542 0.023 4.146
4.400 -0.023 1.382
2.455 1.662 2.014
-0.094 0.297 4.409
1.764 -0.297 1.645
0.598 -1.662 4.778
6.345 1.662 0.751
5.178 0.297 3.883
7.036 -0.297 1.119
4.487 -1.662 3.515

No. 6
RbZr2S4 | the Alexandria database | PBE | optimized geometry; uncorrected formation energy = -1.467 eV/atom; N(E_F) = 1.47 states/eV/f.u.; E_tot = -6.406 eV/atom; calculated density = 4.1 g/cm3; polymorph energy (0 for the lowest one) = 106 meV per atom
1.0
1.916 -6.388 0.000
1.916 6.388 0.000
0.000 0.000 13.252
Rb Zr S
2 4 8
Cartesian
1.916 4.990 9.939
1.916 -4.990 3.313
1.916 1.654 7.470
1.916 1.654 12.409
1.916 -1.654 0.844
1.916 -1.654 5.782
0.000 0.000 0.000
0.000 0.000 6.626
1.916 3.024 1.366
1.916 3.024 5.260
1.916 1.142 9.939
1.916 -1.142 3.313
1.916 -3.024 7.992
1.916 -3.024 11.886